(1)
Material: TbSeS
Method: DFT, GGA-PBE
State: optimized geometry

Calculated values
The value obtained for the polymorph energy (0 for the lowest one) is 0.000 eV per formula unit. Its symmetry is P2_1/c. The calculated total energy comes out at -17.2 eV per formula unit. As for the crystal system: monoclinic.

Cell and atoms, written as CIF:
```
data_TbSeS
_chemical_formula_sum 'Tb4 Se4 S4'
_space_group_name_H-M_alt 'P 1'
_space_group_IT_number 1
_space_group_name_Hall 'P 1'
_cell_length_a 8.114
_cell_length_b 3.988
_cell_length_c 8.064
_cell_angle_alpha 90.00
_cell_angle_beta 90.10
_cell_angle_gamma 90.00
loop_
_atom_site_label
_atom_site_fract_x
_atom_site_fract_y
_atom_site_fract_z
_atom_site_occupancy
Tb1 0.713 0.728 0.874 1
Tb2 0.287 0.228 0.626 1
Tb3 0.287 0.272 0.126 1
Tb4 0.713 0.772 0.374 1
Se1 0.999 0.205 0.878 1
Se2 0.999 0.295 0.378 1
Se3 0.001 0.705 0.622 1
Se4 0.001 0.795 0.122 1
S1 0.632 0.256 0.125 1
S2 0.368 0.756 0.375 1
S3 0.368 0.744 0.875 1
S4 0.632 0.244 0.625 1
```


(2)
Material: BaPmTl
Method: DFT, GGA-PBE
State: optimized geometry

Calculated values
The value obtained for the polymorph energy (0 for the lowest one) is 0.000 eV per formula unit. Its symmetry is F-43m. The calculated total energy comes out at -9.0 eV per formula unit. As for the crystal system: cubic.

Cell and atoms, written as CIF:
```
data_BaPmTl
_chemical_formula_sum 'Ba1 Pm1 Tl1'
_space_group_name_H-M_alt 'P 1'
_space_group_IT_number 1
_space_group_name_Hall 'P 1'
_cell_length_a 5.621
_cell_length_b 5.621
_cell_length_c 5.621
_cell_angle_alpha 60.00
_cell_angle_beta 60.00
_cell_angle_gamma 60.00
loop_
_atom_site_label
_atom_site_fract_x
_atom_site_fract_y
_atom_site_fract_z
_atom_site_occupancy
Ba1 0.250 0.250 0.250 1
Tl1 0.000 0.000 0.000 1
Pm1 0.750 0.750 0.750 1
```